A relaxed BeTc2Ir crystal, computed with PBE. Values from VASP.

Summary:
SG: R-3m
DFT formation energy: 6.3 kJ/mol of atoms
spin magnetization: 0.00 μB/f.u.
volume: 13.46 Å³ per atom
total DFT energy (no corrections): -33.060 eV per formula unit
mass density: 12.26 g cm⁻³

Cell and atoms, written as Quantum ESPRESSO input:
```
&SYSTEM
  ibrav = 0, nat = 4, ntyp = 3
/
ATOMIC_SPECIES
Be 9.01 Be.upf
Ir 192.22 Ir.upf
Tc 98.00 Tc.upf
ATOMIC_POSITIONS angstrom
Be 6.143 0.983 0.577
Ir 18.428 2.948 1.731
Tc 24.458 3.912 2.297
Tc 12.398 1.983 1.164
CELL_PARAMETERS angstrom
8.478 -0.027 -0.016
8.046 2.670 -0.016
8.046 1.287 2.340
```

***

A relaxed Ta2Hg2Au crystal, computed with PBE. Values from VASP.

Summary:
SG: I4/mmm
DFT formation energy: 72.8 kJ/mol of atoms
spin magnetization: 0.00 μB/f.u.
volume: 21.65 Å³ per atom
total DFT energy (no corrections): -23.814 eV per formula unit
mass density: 14.72 g cm⁻³

Cell and atoms, written as Quantum ESPRESSO input:
```
&SYSTEM
  ibrav = 0, nat = 5, ntyp = 3
/
ATOMIC_SPECIES
Au 196.97 Au.upf
Hg 200.59 Hg.upf
Ta 180.95 Ta.upf
ATOMIC_POSITIONS angstrom
Au 0.000 0.000 0.000
Hg -5.014 2.247 -1.200
Hg -4.992 -0.151 -2.586
Ta -2.309 0.959 -1.697
Ta -7.697 1.137 -2.089
CELL_PARAMETERS angstrom
-1.247 3.632 -0.770
-1.204 -1.164 -3.541
-7.554 -0.372 0.525
```

***

A relaxed FeC3N crystal, computed with PBE. Values from VASP.

Summary:
SG: Pm-3m
formation energy without anion corrections: 2.806 eV per atom
spin magnetization: 1.00 μB/f.u.
volume: 9.94 Å³ per atom
total DFT energy (no corrections): -30.429 eV per formula unit
mass density: 3.54 g cm⁻³

Cell and atoms, written as Quantum ESPRESSO input:
```
&SYSTEM
  ibrav = 0, nat = 5, ntyp = 3
/
ATOMIC_SPECIES
C 12.01 C.upf
Fe 55.84 Fe.upf
N 14.01 N.upf
ATOMIC_POSITIONS angstrom
C -0.253 -1.716 0.607
C -1.764 0.382 0.346
C -0.449 -0.535 -1.700
Fe 0.000 0.000 0.000
N -2.466 -1.870 -0.747
CELL_PARAMETERS angstrom
-0.899 -1.071 -3.400
-0.505 -3.433 1.214
-3.529 0.764 0.692
```

***

A relaxed Zn4FeHg crystal, computed with PBE. Values from VASP.

Summary:
SG: F-43m
DFT formation energy: 24.6 kJ/mol of atoms
spin magnetization: 2.48 μB/f.u.
volume: 15.53 Å³ per atom
total DFT energy (no corrections): -12.329 eV per formula unit
mass density: 9.23 g cm⁻³

Cell and atoms, written as Quantum ESPRESSO input:
```
&SYSTEM
  ibrav = 0, nat = 6, ntyp = 3
/
ATOMIC_SPECIES
Zn 65.41 Zn.upf
Fe 55.84 Fe.upf
Hg 200.59 Hg.upf
ATOMIC_POSITIONS angstrom
Zn -2.342 -2.608 -5.947
Zn -1.692 -0.283 -6.687
Zn -3.946 -0.685 -5.622
Zn -1.847 -0.828 -4.226
Fe -3.685 -1.651 -8.430
Hg 0.000 0.000 0.000
CELL_PARAMETERS angstrom
-0.997 -3.587 -3.468
-4.230 0.287 -2.814
0.313 1.098 -4.959
```

***

A relaxed Li5Cd12Ag2 crystal, computed with PBE. Values from VASP.

Summary:
SG: C2/m
DFT formation energy: -7.2 kJ/mol of atoms
spin magnetization: 0.00 μB/f.u.
volume: 21.47 Å³ per atom
total DFT energy (no corrections): -27.676 eV per formula unit
mass density: 6.51 g cm⁻³

Cell and atoms, written as Quantum ESPRESSO input:
```
&SYSTEM
  ibrav = 0, nat = 19, ntyp = 3
/
ATOMIC_SPECIES
Li 6.94 Li.upf
Cd 112.41 Cd.upf
Ag 107.87 Ag.upf
ATOMIC_POSITIONS angstrom
Li 2.700 2.062 4.705
Li 0.036 2.825 6.513
Li 2.749 -0.059 -0.188
Li 4.915 4.429 0.297
Li 2.250 5.192 2.105
Cd 0.150 0.572 1.316
Cd 4.197 7.147 2.674
Cd 4.220 4.298 3.910
Cd 1.675 0.477 7.152
Cd 1.640 4.918 5.226
Cd 2.811 3.198 7.321
Cd 2.139 4.057 -0.511
Cd 3.275 6.778 -0.342
Cd 3.310 2.336 1.584
Cd 0.753 0.107 4.136
Cd 0.730 2.956 2.900
Cd 4.800 6.683 5.494
Ag -0.039 4.913 -2.131
Ag -0.018 2.260 -0.980
CELL_PARAMETERS angstrom
5.498 -0.119 -0.376
-0.057 7.173 -3.111
-0.491 0.201 10.297
```

***

A relaxed ErLuSnRh crystal, computed with PBE. Values from VASP.

Summary:
SG: F-43m
DFT formation energy: -65.4 kJ/mol of atoms
spin magnetization: 0.00 μB/f.u.
volume: 22.44 Å³ per atom
total DFT energy (no corrections): -23.148 eV per formula unit
mass density: 10.43 g cm⁻³

Cell and atoms, written as Quantum ESPRESSO input:
```
&SYSTEM
  ibrav = 0, nat = 4, ntyp = 4
/
ATOMIC_SPECIES
Lu 174.97 Lu.upf
Rh 102.91 Rh.upf
Sn 118.71 Sn.upf
Er 167.26 Er.upf
ATOMIC_POSITIONS angstrom
Lu 5.025 2.901 2.052
Rh 7.538 4.352 3.077
Sn 2.513 1.451 1.026
Er 0.000 0.000 0.000
CELL_PARAMETERS angstrom
5.025 0.000 0.000
2.513 4.352 0.000
2.513 1.451 4.103
```

***

A relaxed Ta3Os crystal, computed with PBE. Values from VASP.

Summary:
SG: Pm-3m
DFT formation energy: 8.0 kJ/mol of atoms
spin magnetization: 0.00 μB/f.u.
volume: 17.45 Å³ per atom
total DFT energy (no corrections): -46.454 eV per formula unit
mass density: 17.44 g cm⁻³

Cell and atoms, written as Quantum ESPRESSO input:
```
&SYSTEM
  ibrav = 0, nat = 4, ntyp = 2
/
ATOMIC_SPECIES
Os 190.23 Os.upf
Ta 180.95 Ta.upf
ATOMIC_POSITIONS angstrom
Os 0.000 0.000 0.000
Ta 0.000 2.059 2.059
Ta 2.059 0.000 2.059
Ta 2.059 2.059 0.000
CELL_PARAMETERS angstrom
4.118 0.000 0.000
0.000 4.118 0.000
0.000 0.000 4.118
```

***

A relaxed HRh4 crystal, computed with PBE. Values from VASP.

Summary:
SG: Pm-3m
spin magnetization: 0.00 μB/f.u.
volume: 11.86 Å³ per atom
total DFT energy (no corrections): -32.533 eV per formula unit
mass density: 11.56 g cm⁻³

Cell and atoms, written as Quantum ESPRESSO input:
```
&SYSTEM
  ibrav = 0, nat = 5, ntyp = 2
/
ATOMIC_SPECIES
H 1.01 H.upf
Rh 102.91 Rh.upf
ATOMIC_POSITIONS angstrom
H -2.912 0.724 -1.549
Rh 0.000 0.000 0.000
Rh -1.860 1.976 -0.488
Rh -2.677 -0.638 -0.174
Rh -1.288 0.110 -2.435
CELL_PARAMETERS angstrom
-0.471 2.724 -2.750
-2.105 -2.505 -2.121
-3.248 1.228 1.773
```

***

A relaxed Cs2TbCu2Br6 crystal, computed with PBE. Values from VASP.

Summary:
SG: C2/m
formation energy without anion corrections: -1.200 eV per atom
spin magnetization: 0.00 μB/f.u.
volume: 36.46 Å³ per atom
total DFT energy (no corrections): -37.762 eV per formula unit
mass density: 4.27 g cm⁻³

Cell and atoms, written as Quantum ESPRESSO input:
```
&SYSTEM
  ibrav = 0, nat = 11, ntyp = 4
/
ATOMIC_SPECIES
Cs 132.91 Cs.upf
Tb 158.93 Tb.upf
Cu 63.55 Cu.upf
Br 79.90 Br.upf
ATOMIC_POSITIONS angstrom
Cs 4.197 2.176 1.305
Cs 0.000 0.626 6.414
Tb 4.197 -1.726 3.771
Cu 4.197 3.637 4.783
Cu 0.000 -0.835 2.936
Br 4.197 0.921 4.749
Br -1.955 5.171 1.989
Br 2.242 -2.370 5.730
Br 6.152 -2.370 5.730
Br 1.955 5.171 1.989
Br 0.000 1.881 2.970
CELL_PARAMETERS angstrom
8.394 0.000 0.000
-4.197 6.254 0.177
0.000 -3.453 7.543
```

***

A relaxed LaPaTcRu crystal, computed with PBE. Values from VASP.

Summary:
SG: F-43m
DFT formation energy: -3.4 kJ/mol of atoms
spin magnetization: 0.00 μB/f.u.
volume: 21.41 Å³ per atom
total DFT energy (no corrections): -34.208 eV per formula unit
mass density: 11.03 g cm⁻³

Cell and atoms, written as Quantum ESPRESSO input:
```
&SYSTEM
  ibrav = 0, nat = 4, ntyp = 4
/
ATOMIC_SPECIES
Ru 101.07 Ru.upf
Pa 231.04 Pa.upf
Tc 98.00 Tc.upf
La 138.91 La.upf
ATOMIC_POSITIONS angstrom
Ru 2.474 1.428 1.010
Pa 0.000 0.000 0.000
Tc 7.422 4.285 3.030
La 4.948 2.857 2.020
CELL_PARAMETERS angstrom
4.948 0.000 0.000
2.474 4.285 0.000
2.474 1.428 4.040
```

***

A relaxed Ac3PrDy3Se8 crystal, computed with PBE. Values from VASP.

Summary:
SG: R-3m
formation energy without anion corrections: -1.857 eV per atom
spin magnetization: 0.00 μB/f.u.
volume: 29.06 Å³ per atom
total DFT energy (no corrections): -86.635 eV per formula unit
mass density: 7.39 g cm⁻³

Cell and atoms, written as Quantum ESPRESSO input:
```
&SYSTEM
  ibrav = 0, nat = 15, ntyp = 4
/
ATOMIC_SPECIES
Ac 227.00 Ac.upf
Pr 140.91 Pr.upf
Dy 162.50 Dy.upf
Se 78.96 Se.upf
ATOMIC_POSITIONS angstrom
Ac 0.000 0.000 0.000
Ac -2.103 3.642 -0.013
Ac 2.103 3.642 -0.013
Pr 0.000 -2.415 3.566
Dy 4.206 -2.415 3.566
Dy 2.103 1.227 3.553
Dy -2.103 1.227 3.553
Se 0.000 2.436 1.970
Se 4.206 0.018 5.137
Se 4.206 2.315 1.886
Se 0.000 0.139 5.221
Se 6.204 -1.147 1.898
Se -1.998 3.601 5.208
Se 2.207 -1.147 1.898
Se 1.998 3.601 5.208
CELL_PARAMETERS angstrom
8.411 0.000 0.000
-4.206 7.285 -0.026
0.000 -4.830 7.133
```

***

A relaxed Y4W crystal, computed with PBE. Values from VASP.

Summary:
SG: R-3m
DFT formation energy: 42.5 kJ/mol of atoms
spin magnetization: 1.16 μB/f.u.
volume: 28.04 Å³ per atom
total DFT energy (no corrections): -36.607 eV per formula unit
mass density: 6.39 g cm⁻³

Cell and atoms, written as Quantum ESPRESSO input:
```
&SYSTEM
  ibrav = 0, nat = 5, ntyp = 2
/
ATOMIC_SPECIES
Y 88.91 Y.upf
W 183.84 W.upf
ATOMIC_POSITIONS angstrom
Y -11.206 5.919 -9.708
Y -23.034 12.167 -19.956
Y -5.818 3.073 -5.040
Y -17.646 9.321 -15.288
W 0.000 0.000 0.000
CELL_PARAMETERS angstrom
-8.214 5.590 -9.640
-10.470 3.291 -8.439
-10.167 6.359 -6.918
```